Computed, not measured: crystalline Al3SO at its relaxed geometry at the PBE level of DFT.

The space group is Pm-3m (No. 221) and the conventional cell measures 4.7159, 4.7159 and 4.7159 Å, with angles of 90.00, 90.00 and 90.00 degrees. Symmetry generates all atoms from Al at (0.0000, 0.0000, 0.5000), S at (0.0000, 0.0000, 0.0000) and O at (0.5000, 0.5000, 0.5000).

The calculation puts the total magnetization at 0.0000 μB per atom. The uncorrected formation energy comes out at 0.738 eV per atom. The calculation puts the polymorph energy (0 for the lowest one) at 888 meV per atom.